# 1
A plane-wave DFT calculation with GGA-PBE was carried out for a relaxed structure of AgGeSe3.

Cell and atoms, written as extended XYZ:
```
5
Lattice="5.022 0.000 0.000 0.000 5.022 0.000 0.000 0.000 5.022" Properties=species:S:1:pos:R:3 pbc="T T T"
Ge 0.000 0.000 0.000
Se 0.000 2.511 0.000
Se 0.000 0.000 2.511
Se 2.511 0.000 0.000
Ag 2.511 2.511 2.511
```

Computed properties:
- energy (eV/atom) = -3.1344
- Fermi-level density of states (states/eV/f.u.) = 3.889
- total magnetization (μB per formula unit) = 0.0
- offset from the most stable computed form (meV/atom) = 506
- uncorrected formation energy (eV per atom) = 0.45

***

# 2
A plane-wave DFT calculation with GGA-PBE was carried out for a relaxed structure of BaNbAl2I.

Cell and atoms, written as extended XYZ:
```
5
Lattice="-0.424 1.282 5.928 3.860 -4.761 1.306 4.771 3.740 -0.468" Properties=species:S:1:pos:R:3 pbc="T T T"
I 1.930 -2.381 0.653
Nb 4.104 0.130 3.383
Ba 0.000 0.000 0.000
Al 2.385 1.870 -0.234
Al -0.212 0.641 2.964
```

Computed properties:
- energy (eV/atom) = -2.3749
- Fermi-level density of states (states/eV/f.u.) = 8.582
- total magnetization (μB per formula unit) = 0.4
- uncorrected formation energy (eV per atom) = 1.83

***

# 3
A plane-wave DFT calculation with GGA-PBE was carried out for a relaxed structure of PmNd3Sm.

Cell and atoms, written as extended XYZ:
```
10
Lattice="5.499 0.000 0.000 0.000 7.475 0.000 0.000 0.000 8.570" Properties=species:S:1:pos:R:3 pbc="T T T"
Pm 4.124 1.869 2.280
Pm 1.375 5.606 6.290
Nd 4.124 5.606 0.434
Nd 1.375 1.869 8.136
Nd 4.124 0.297 6.385
Nd 4.124 3.440 6.385
Nd 1.375 7.178 2.185
Nd 1.375 4.034 2.185
Sm 4.124 5.606 3.767
Sm 1.375 1.869 4.803
```

Computed properties:
- energy (eV/atom) = -4.5798
- formation enthalpy at 0 K (meV/atom) = 175
- Fermi-level density of states (states/eV/f.u.) = 8.779
- total magnetization (μB per formula unit) = 0.0
- offset from the most stable computed form (meV/atom) = 0

***

# 4
A plane-wave DFT calculation with GGA-PBE was carried out for a relaxed structure of SiIrPt4.

Cell and atoms, written as extended XYZ:
```
6
Lattice="0.000 3.697 3.697 3.697 0.000 3.697 3.697 3.697 0.000" Properties=species:S:1:pos:R:3 pbc="T T T"
Si 5.545 5.545 5.545
Ir 0.000 0.000 0.000
Pt 2.769 4.624 4.624
Pt 4.624 4.624 2.769
Pt 4.624 2.769 4.624
Pt 2.769 2.769 2.769
```

Computed properties:
- energy (eV/atom) = -5.8861
- Fermi-level density of states (states/eV/f.u.) = 6.322
- total magnetization (μB per formula unit) = 1.3
- uncorrected formation energy (eV per atom) = 0.52

***

# 5
A plane-wave DFT calculation with GGA-PBE was carried out for a relaxed structure of VPbS2.

Cell and atoms, written as extended XYZ:
```
4
Lattice="5.161 -3.530 6.426 5.483 -5.824 4.050 7.393 -3.111 4.006" Properties=species:S:1:pos:R:3 pbc="T T T"
Pb 0.000 0.000 0.000
S 16.002 -11.058 12.848
S 2.036 -1.407 1.634
V 9.019 -6.232 7.241
```

Computed properties:
- energy (eV/atom) = -5.9457
- Fermi-level density of states (states/eV/f.u.) = 3.839
- total magnetization (μB per formula unit) = 0.3
- uncorrected formation energy (eV per atom) = -0.68

***

# 6
A plane-wave DFT calculation with GGA-PBE was carried out for a relaxed structure of KFeSn2As.

Cell and atoms, written as extended XYZ:
```
5
Lattice="-2.002 5.290 0.134 -3.697 -1.449 1.942 2.368 0.768 5.081" Properties=species:S:1:pos:R:3 pbc="T T T"
K -1.666 2.305 3.579
As 0.000 0.000 0.000
Sn 1.184 0.384 2.540
Sn -1.001 2.645 0.067
Fe -1.849 -0.724 0.971
```

Computed properties:
- energy (eV/atom) = -4.0231
- formation enthalpy at 0 K (meV/atom) = 420
- Fermi-level density of states (states/eV/f.u.) = 5.687
- total magnetization (μB per formula unit) = 2.2

***

# 7
A plane-wave DFT calculation with GGA-PBE was carried out for a relaxed structure of Tl2PO.

Cell and atoms, written as extended XYZ:
```
8
Lattice="-0.501 -4.913 2.918 4.089 1.738 3.628 -2.356 0.905 6.756" Properties=species:S:1:pos:R:3 pbc="T T T"
P 0.000 0.000 0.000
P -0.531 -2.798 6.474
Tl -0.370 -2.427 3.847
Tl 1.883 0.498 4.440
Tl -0.255 -0.441 7.670
Tl 1.206 -2.170 10.647
O 1.794 -1.587 3.273
O 1.763 0.528 6.829
```

Computed properties:
- energy (eV/atom) = -3.8602
- Fermi-level density of states (states/eV/f.u.) = 1.821
- total magnetization (μB per formula unit) = 0.0
- offset from the most stable computed form (meV/atom) = 0
- uncorrected formation energy (eV per atom) = -0.09

***

# 8
A plane-wave DFT calculation with GGA-PBE was carried out for a relaxed structure of UZnB.

Cell and atoms, written as extended XYZ:
```
6
Lattice="-1.148 -1.875 -2.177 -0.877 -4.025 1.731 -7.968 1.462 0.744" Properties=species:S:1:pos:R:3 pbc="T T T"
B -5.283 -2.688 -0.395
B -4.710 -1.750 0.693
Zn -1.234 -2.756 -1.372
Zn -0.791 -3.144 0.926
U -6.299 -0.203 -0.900
U -2.817 -0.209 -0.532
```

Computed properties:
- energy (eV/atom) = -6.1772
- formation enthalpy at 0 K (meV/atom) = 236
- Fermi-level density of states (states/eV/f.u.) = 4.346
- total magnetization (μB per formula unit) = 3.0

***

# 9
A plane-wave DFT calculation with GGA-PBE was carried out for a relaxed structure of YTc2Br.

Cell and atoms, written as extended XYZ:
```
4
Lattice="-4.218 2.810 1.321 1.901 -3.589 3.308 1.912 2.242 1.334" Properties=species:S:1:pos:R:3 pbc="T T T"
Y -1.153 2.526 1.327
Tc 0.000 0.000 0.000
Tc -1.159 -0.389 2.314
Br 1.906 -0.673 2.321
```

Computed properties:
- energy (eV/atom) = -6.5932
- Fermi-level density of states (states/eV/f.u.) = 4.519
- total magnetization (μB per formula unit) = 0.0
- offset from the most stable computed form (meV/atom) = 746
- uncorrected formation energy (eV per atom) = 0.62

***

# 10
A plane-wave DFT calculation with GGA-PBE was carried out for a relaxed structure of PuFeAs2.

Cell and atoms, written as extended XYZ:
```
4
Lattice="4.038 0.001 0.001 -0.002 4.045 -0.002 -2.019 -2.023 4.772" Properties=species:S:1:pos:R:3 pbc="T T T"
Pu 0.431 3.103 1.087
Fe 0.430 1.080 3.477
As 2.450 1.083 2.384
As 0.434 -0.942 4.563
```

Computed properties:
- energy (eV/atom) = -8.5079
- formation enthalpy at 0 K (meV/atom) = -484
- Fermi-level density of states (states/eV/f.u.) = 9.120
- total magnetization (μB per formula unit) = 3.5

***

# 11
A plane-wave DFT calculation with GGA-PBE was carried out for a relaxed structure of BaMg2Zn.

Cell and atoms, written as extended XYZ:
```
8
Lattice="-3.702 -1.949 -1.726 2.584 -3.112 -2.029 -0.808 -6.842 9.462" Properties=species:S:1:pos:R:3 pbc="T T T"
Ba -2.043 -2.601 1.386
Ba 0.676 -6.772 6.199
Mg -2.602 -7.329 7.925
Mg 1.235 -2.043 -0.341
Mg -0.404 -3.421 4.731
Mg -0.963 -5.951 2.854
Zn -2.379 -5.445 5.320
Zn 1.012 -3.927 2.265
```

Computed properties:
- energy (eV/atom) = -1.6830
- formation enthalpy at 0 K (meV/atom) = -87
- Fermi-level density of states (states/eV/f.u.) = 2.389
- total magnetization (μB per formula unit) = 0.0

***

# 12
A plane-wave DFT calculation with GGA-PBE was carried out for a relaxed structure of SrNd2Ge.

Cell and atoms, written as extended XYZ:
```
4
Lattice="-2.403 2.017 -2.743 -3.852 1.175 1.072 1.889 10.763 3.091" Properties=species:S:1:pos:R:3 pbc="T T T"
Sr 0.000 0.000 0.000
Ge -2.183 6.977 0.710
Nd 0.496 7.363 1.812
Nd -4.862 6.592 -0.392
```

Computed properties:
- energy (eV/atom) = -4.1441
- formation enthalpy at 0 K (meV/atom) = -185
- Fermi-level density of states (states/eV/f.u.) = 5.361
- total magnetization (μB per formula unit) = 0.6
- offset from the most stable computed form (meV/atom) = 102

***

# 13
A plane-wave DFT calculation with GGA-PBE was carried out for a relaxed structure of Er7Co2Pd2.

Cell and atoms, written as extended XYZ:
```
11
Lattice="-6.338 1.332 -0.293 -0.719 -2.024 6.350 3.117 5.304 2.044" Properties=species:S:1:pos:R:3 pbc="T T T"
Er -4.960 3.469 2.349
Er -0.590 4.461 6.627
Er 1.021 1.143 5.751
Er -3.349 0.150 1.474
Er 0.000 0.000 0.000
Er -2.153 1.795 5.650
Er -1.787 2.817 2.451
Co -4.317 0.459 6.734
Co 0.377 4.153 1.367
Pd -2.976 4.379 4.597
Pd -0.963 0.232 3.503
```

Computed properties:
- energy (eV/atom) = -5.4468
- formation enthalpy at 0 K (meV/atom) = -307
- Fermi-level density of states (states/eV/f.u.) = 8.806
- total magnetization (μB per formula unit) = 0.0
- offset from the most stable computed form (meV/atom) = 123

***

# 14
A plane-wave DFT calculation with GGA-PBE was carried out for a relaxed structure of K2NaAuBr6.

Cell and atoms, written as extended XYZ:
```
10
Lattice="0.969 -7.511 1.871 -6.216 -4.611 0.973 -1.590 -5.560 -5.235" Properties=species:S:1:pos:R:3 pbc="T T T"
K -5.128 -13.261 -1.793
K -1.709 -4.420 -0.598
Na -3.418 -8.841 -1.195
Au 0.000 0.000 0.000
Br -4.869 -6.647 -0.071
Br -1.143 -8.151 0.395
Br -1.968 -11.034 -2.320
Br -2.470 -7.140 -3.290
Br -4.367 -10.542 0.899
Br -5.693 -9.531 -2.785
```

Computed properties:
- energy (eV/atom) = -2.6342
- Fermi-level density of states (states/eV/f.u.) = 5.820
- total magnetization (μB per formula unit) = 0.0
- uncorrected formation energy (eV per atom) = -0.95

***

# 15
A plane-wave DFT calculation with GGA-PBE was carried out for a relaxed structure of Tb3Si8Rh3.

Cell and atoms, written as extended XYZ:
```
14
Lattice="-1.943 -3.177 -1.827 4.721 -6.066 0.820 -1.846 -5.263 6.408" Properties=species:S:1:pos:R:3 pbc="T T T"
Tb 1.794 -8.949 4.237
Tb -0.862 -5.558 1.164
Tb 0.000 0.000 0.000
Si -0.659 -4.560 3.922
Si 1.591 -9.947 1.479
Si -1.190 -9.790 4.165
Si 2.123 -4.716 1.236
Si 1.654 -7.269 1.463
Si -0.722 -7.238 3.938
Si -1.061 -2.605 0.950
Si 1.993 -11.901 4.451
Rh 1.438 -5.665 3.614
Rh -0.044 -11.332 5.628
Rh 0.977 -3.174 -0.227
```

Computed properties:
- energy (eV/atom) = -6.3764
- Fermi-level density of states (states/eV/f.u.) = 5.764
- total magnetization (μB per formula unit) = 0.0
- offset from the most stable computed form (meV/atom) = 0
- uncorrected formation energy (eV per atom) = -0.71

***

# 16
A plane-wave DFT calculation with GGA-PBE was carried out for a relaxed structure of NbGeS2N.

Cell and atoms, written as extended XYZ:
```
5
Lattice="4.960 0.000 0.000 0.000 4.960 0.000 0.000 0.000 3.893" Properties=species:S:1:pos:R:3 pbc="T T T"
S 0.000 2.480 0.000
S 2.480 0.000 0.000
Nb 0.000 0.000 0.000
Ge 2.480 2.480 1.946
N 0.000 0.000 1.946
```

Computed properties:
- energy (eV/atom) = -6.2687
- Fermi-level density of states (states/eV/f.u.) = 1.569
- total magnetization (μB per formula unit) = 0.0
- offset from the most stable computed form (meV/atom) = 0
- uncorrected formation energy (eV per atom) = -0.02

***

# 17
A plane-wave DFT calculation with GGA-PBE was carried out for a relaxed structure of LiCuOs2.

Cell and atoms, written as extended XYZ:
```
8
Lattice="7.631 0.000 0.000 0.000 7.631 0.000 3.815 3.815 2.178" Properties=species:S:1:pos:R:3 pbc="T T T"
Os 6.251 1.908 0.544
Os 1.380 5.723 0.544
Os 5.723 5.195 1.633
Os 9.539 10.066 1.633
Cu 0.000 0.000 0.000
Cu 7.631 3.815 1.089
Li 3.815 3.815 0.000
Li 3.815 7.631 1.089
```

Computed properties:
- energy (eV/atom) = -6.2300
- formation enthalpy at 0 K (meV/atom) = 887
- Fermi-level density of states (states/eV/f.u.) = 1.383
- total magnetization (μB per formula unit) = 0.0
- offset from the most stable computed form (meV/atom) = 696

***

# 18
A plane-wave DFT calculation with GGA-PBE was carried out for a relaxed structure of ZrAlSe2.

Cell and atoms, written as extended XYZ:
```
4
Lattice="4.863 0.000 0.000 2.432 4.212 0.000 2.432 1.404 3.971" Properties=species:S:1:pos:R:3 pbc="T T T"
Se 0.000 0.000 0.000
Se 2.432 1.404 0.993
Zr 7.295 4.212 2.978
Al 4.863 2.808 1.985
```

Computed properties:
- energy (eV/atom) = -4.7847
- Fermi-level density of states (states/eV/f.u.) = 4.394
- total magnetization (μB per formula unit) = 0.0
- uncorrected formation energy (eV per atom) = 0.03

***

# 19
A plane-wave DFT calculation with GGA-PBE was carried out for a relaxed structure of CsZnHg2.

Cell and atoms, written as extended XYZ:
```
4
Lattice="-0.193 -3.619 -1.749 3.129 -1.234 2.208 -5.092 -2.532 5.801" Properties=species:S:1:pos:R:3 pbc="T T T"
Cs -1.078 -3.692 3.130
Zn 1.468 -2.426 0.230
Hg -4.144 -2.060 4.721
Hg -0.948 -0.471 1.080
```

Computed properties:
- energy (eV/atom) = -0.7138
- formation enthalpy at 0 K (meV/atom) = -31
- Fermi-level density of states (states/eV/f.u.) = 2.600
- total magnetization (μB per formula unit) = 0.0

***

# 20
A plane-wave DFT calculation with GGA-PBE was carried out for a relaxed structure of V2ReRh.

Cell and atoms, written as extended XYZ:
```
4
Lattice="3.111 0.000 0.000 0.000 4.241 0.000 0.000 0.000 4.241" Properties=species:S:1:pos:R:3 pbc="T T T"
Re 1.556 0.000 0.000
Rh 1.556 2.121 2.121
V 0.000 0.000 2.121
V 0.000 2.121 0.000
```

Computed properties:
- energy (eV/atom) = -9.7613
- formation enthalpy at 0 K (meV/atom) = -252
- Fermi-level density of states (states/eV/f.u.) = 5.710
- total magnetization (μB per formula unit) = 1.0